Record 1
4
Lattice="1.6119 0.9306 10.8192 -1.6119 0.9306 10.8192 0.0000 -1.8612 10.8192" Properties=species:S:1:pos:R:3 comment="Pu2TcSn (GGA-PBE, relaxed)" delta_e_f_ev_per_atom=0.23 space_group="R-3m (166)" pbc="T T T"
Pu 0.0000 0.0000 3.2621
Pu 0.0000 0.0000 29.1956
Tc 0.0000 0.0000 16.2288
Sn 0.0000 0.0000 0.0000

---

Record 2
6
Lattice="3.0078 0.0000 0.0000 0.0000 3.0078 0.0000 0.0000 0.0000 9.1264" Properties=species:S:1:pos:R:3 comment="Ti3Mn2Ir (GGA-PBE, relaxed)" delta_e_f_ev_per_atom=-0.54 space_group="P4/mmm (123)" pbc="T T T"
Ti 0.0000 0.0000 0.0000
Ti 0.0000 0.0000 2.9103
Ti 0.0000 0.0000 6.2161
Mn 1.5039 1.5039 1.5050
Mn 1.5039 1.5039 7.6214
Ir 1.5039 1.5039 4.5632

---

Please write out number 2 again, unchanged.
6
Lattice="3.0078 0.0000 0.0000 0.0000 3.0078 0.0000 0.0000 0.0000 9.1264" Properties=species:S:1:pos:R:3 comment="Ti3Mn2Ir (GGA-PBE, relaxed)" delta_e_f_ev_per_atom=-0.54 space_group="P4/mmm (123)" pbc="T T T"
Ti 0.0000 0.0000 0.0000
Ti 0.0000 0.0000 2.9103
Ti 0.0000 0.0000 6.2161
Mn 1.5039 1.5039 1.5050
Mn 1.5039 1.5039 7.6214
Ir 1.5039 1.5039 4.5632